Here is a crystal of ZrW2C relaxed with PBEsol from Alexandria. Energies are from SCAN.

```
4
Lattice="1.5332 0.8852 7.2433 -1.5332 0.8852 7.2433 0.0000 -1.7703 7.2433" Properties=species:S:1:pos:R:3 pbc="T T T"
Zr 0.0000 0.0000 0.0000
W 0.0000 0.0000 4.7956
W 0.0000 0.0000 16.9345
C 0.0000 0.0000 10.8650
```

E ... -179.7 eV for the cell shown
V ... 14.74 A^3/atom
DOS(E_F) ... 0.547 states/eV per atom

=====

Here is a crystal of ZrWC relaxed with PBEsol from Alexandria. Energies are from SCAN.

```
3
Lattice="0.0000 2.9465 2.9465 2.9465 0.0000 2.9465 2.9465 2.9465 0.0000" Properties=species:S:1:pos:R:3 pbc="T T T"
Zr 0.0000 0.0000 0.0000
W 1.4733 1.4733 1.4733
C 4.4198 4.4198 4.4198
```

E ... -102.9 eV for the cell shown
V ... 17.05 A^3/atom
DOS(E_F) ... 1.505 states/eV per atom

=====

Here is a crystal of ZrWC3 relaxed with PBEsol from Alexandria. Energies are from SCAN.

```
5
Lattice="4.0675 0.0000 0.0000 0.0000 4.0675 0.0000 0.0000 0.0000 4.0675" Properties=species:S:1:pos:R:3 pbc="T T T"
Zr 0.0000 0.0000 0.0000
W 2.0338 2.0338 2.0338
C 0.0000 0.0000 2.0338
C 0.0000 2.0338 0.0000
C 2.0338 0.0000 0.0000
```

E ... -117.0 eV for the cell shown
V ... 13.46 A^3/atom
DOS(E_F) ... 0.560 states/eV per atom

=====

Here is a crystal of ZrW2C relaxed with PBEsol from Alexandria. Energies are from SCAN.

```
4
Lattice="1.6072 -2.3243 0.0000 1.6072 2.3243 0.0000 0.0000 0.0000 7.6375" Properties=species:S:1:pos:R:3 pbc="T T T"
Zr 0.0000 0.0000 0.0000
W 0.0000 0.0000 4.6147
W 1.6072 0.0000 2.4058
C 1.6072 0.0000 6.0227
```

E ... -179.0 eV for the cell shown
V ... 14.27 A^3/atom
DOS(E_F) ... 0.471 states/eV per atom

=====

Here is a crystal of Zr3WC relaxed with PBEsol from Alexandria. Energies are from SCAN.

```
5
Lattice="4.4668 0.0000 0.0000 0.0000 4.4668 0.0000 0.0000 0.0000 4.4668" Properties=species:S:1:pos:R:3 pbc="T T T"
Zr 0.0000 0.0000 2.2334
Zr 0.0000 2.2334 0.0000
Zr 2.2334 0.0000 0.0000
W 2.2334 2.2334 2.2334
C 0.0000 0.0000 0.0000
```

E ... -172.4 eV for the cell shown
V ... 17.82 A^3/atom
DOS(E_F) ... 0.520 states/eV per atom

=====

Here is a crystal of YC2 relaxed with PBEsol from Alexandria. Energies are from SCAN.

```
3
Lattice="3.4900 -1.8127 0.0000 3.4900 1.8127 0.0000 -1.7204 0.0000 3.1898" Properties=species:S:1:pos:R:3 pbc="T T T"
Y 0.0000 0.0000 0.0000
C 2.0784 0.0000 1.2485
C 3.1811 0.0000 1.9413
```

E ... -49.1 eV for the cell shown
V ... 13.45 A^3/atom
E above lowest polymorph ... 0.000 eV/atom
DOS(E_F) ... 0.242 states/eV per atom